4
Lattice="-0.7867 -3.5632 -0.1088 3.4008 -0.7167 -1.1170 2.9875 -0.9562 9.7093" Properties=species:S:1:pos:R:3 comment="NdEuEr2 GGA-PBE optimized geometry" sg="P4/mmm (123)" m_tot_mub_per_fu=7.79 final_energy_ev_per_cell=-23.9 e_above_lowest_polymorph_mev_per_atom=0.0 delta_e_f_mev_per_atom=69 pbc="T T T"
Nd 1.3070 -2.1399 -0.6129
Er 0.7109 -0.2275 2.3103
Er 2.2766 -0.7287 7.3989
Eu 2.8008 -2.6181 4.2417